No. 1
An optimized crystal structure of TaAsO3, computed with PBE.

Calculated values
calculated density = 7.96 Mg/m³
volume = 12.7 A^3/atom
formation energy without anion corrections = -7.4 eV per formula unit

abc: 3.987 3.987 3.987
angles: 90.00 90.00 90.00
Fractional positions:
Ta 0.000 0.000 0.000
As 0.500 0.500 0.500
O 0.000 0.000 0.500
O 0.000 0.500 0.000
O 0.500 0.000 0.000

No. 2
An optimized crystal structure of Nd2Ho3Cd, computed with PBE.

Calculated values
calculated density = 7.67 Mg/m³
formation energy from the elements = 0.87 eV per formula unit
volume = 32.3 A^3/atom

abc: 9.418 9.418 9.418
angles: 159.10 46.22 139.26
Fractional positions:
Nd 0.192 0.000 0.192
Nd 0.808 0.000 0.808
Ho 0.186 0.686 0.500
Ho 0.363 0.494 0.869
Ho 0.625 0.494 0.131
Cd 0.793 0.793 0.000